DFT (GGA-PBE) results for a relaxed structure of MgZnRe2.

Calculated values
Calculated density, g/cm³: 12.47
Formation energy from the elements, kcal/mol of atoms: 9.11
Electronic total energy, eV per atom: -6.55
Offset from the most stable computed form, eV per formula unit: 1.38

Unit cell a=5.1559 b=5.1559 c=2.6133 alpha=90.00 beta=90.00 gamma=117.68
Atoms (fractional coordinates):
Mg 0.0000 0.0000 0.0000
Zn 0.5000 0.5000 0.0000
Re 0.0000 0.5000 0.5000
Re 0.5000 0.0000 0.5000